1.
Density functional theory data (PBE) for a relaxed structure of HoMg12.

abc: 5.9667 7.7910 7.7910
angles: 81.57 67.49 67.49
Element x y z (fractional)
Mg: 0.7109 0.7891 0.7891
Mg: 0.0000 0.3496 0.6504
Mg: 0.0000 0.0000 0.5000
Mg: 0.5000 0.5000 0.0000
Mg: 0.5000 0.7891 0.2109
Mg: 0.0000 0.6504 0.3496
Mg: 0.5000 0.0000 0.5000
Mg: 0.2891 0.2109 0.2109
Mg: 0.0000 0.5000 0.0000
Mg: 0.6504 0.3496 0.3496
Mg: 0.5000 0.2109 0.7891
Mg: 0.3496 0.6504 0.6504
Ho: 0.0000 0.0000 0.0000

Properties
DOS at the Fermi energy: 5.51 states/eV per cell
Crystal system: tetragonal
Magnetic moment: 0.00 Bohr magnetons per cell
Space-group type: No. 139
Formation enthalpy at 0 K: -0.005 eV/atom

=====

2.
Density functional theory data (PBE) for a relaxed structure of SmNp4As5.

abc: 4.1279 5.8370 10.9265
angles: 105.49 100.89 90.00
Site moments in Bohr magnetons follow the coordinates.
Element x y z (fractional)
As: 0.8011 0.3011 0.6023  -0.12
As: 0.1989 0.6989 0.3977  -0.12
As: 0.6035 0.1035 0.2071  -0.09
As: 0.0000 0.5000 0.0000  -0.10
As: 0.3965 0.8965 0.7929  -0.09
Np: 0.7984 0.7984 0.5968  3.73
Np: 0.4004 0.4004 0.8008  3.73
Np: 0.2016 0.2016 0.4032  3.73
Np: 0.5996 0.5996 0.1992  3.73
Sm: 0.0000 0.0000 0.0000  0.03

Properties
DOS at the Fermi energy: 33.59 states/eV per cell
Crystal system: orthorhombic
Magnetic moment: 15.55 Bohr magnetons per cell
Space-group type: No. 71
Formation enthalpy at 0 K: -0.851 eV/atom

=====

3.
Density functional theory data (PBE) for a relaxed structure of ReSiF2.

abc: 4.1693 4.1693 4.1693
angles: 60.00 60.00 60.00
Site moments in Bohr magnetons follow the coordinates.
Element x y z (fractional)
Si: 0.0000 0.0000 0.0000  -0.08
F: 0.7500 0.7500 0.7500  0.04
F: 0.2500 0.2500 0.2500  0.04
Re: 0.5000 0.5000 0.5000  1.97

Properties
DOS at the Fermi energy: 7.67 states/eV per cell
Crystal system: cubic
Magnetic moment: 2.09 Bohr magnetons per cell
Uncorrected energy: -20.12 eV per cell
Space-group type: No. 225

=====

4.
Density functional theory data (PBE) for a relaxed structure of AcDyGa2Pd5.

abc: 4.3389 4.3389 9.2922
angles: 90.00 90.00 90.00
Element x y z (fractional)
Ga: 0.5000 0.5000 0.8671
Ga: 0.5000 0.5000 0.1329
Dy: 0.0000 0.0000 0.0000
Ac: 0.0000 0.0000 0.5000
Pd: 0.0000 0.5000 0.2643
Pd: 0.5000 0.0000 0.2643
Pd: 0.0000 0.5000 0.7357
Pd: 0.5000 0.5000 0.5000
Pd: 0.5000 0.0000 0.7357

Properties
DOS at the Fermi energy: 5.80 states/eV per cell
Crystal system: tetragonal
Magnetic moment: 0.00 Bohr magnetons per cell
Space-group type: No. 123
Formation enthalpy at 0 K: -0.755 eV/atom